VASP calculation (PBE) on an optimized crystal structure of TaV4.

POSCAR file:
```
TaV4
1.0
-1.787 1.787 6.001
1.787 -1.787 6.001
1.787 1.787 -6.001
Ta V
1 4
direct
0.000 0.000 0.000
0.250 0.750 0.500
0.399 0.399 0.000
0.601 0.601 0.000
0.750 0.250 0.500
```

Values from the calculation:
**Space group**: I4/mmm (139)
**Energy above the most stable polymorph in this dataset**: 0.0 kJ per mole of atoms